Here is a relaxed structure of PH3F from the Alexandria database. Energies are from PBEsol.

Magnetic moment   0.000 μB/f.u.
VASP energy   -3.63 eV per atom
Density of states at the Fermi level   1.1 states/eV/f.u.
V   34 Å³/f.u.
Symmetry   Pm-3m (221)

The structure in extended XYZ format:
```
5
Lattice="-2.5921 0.9420 -1.7117 -0.9256 -3.0965 -0.3024 -1.7206 0.2466 2.7414" Properties=species:S:1:pos:R:3 pbc="T T T"
P 0.0000 0.0000 0.0000
H -0.4628 -1.5482 -0.1512
H -1.2961 0.4710 -0.8559
F -2.6192 -0.9539 0.3636
H -0.8603 0.1233 1.3707
```